AcPuIr: optimized geometry, PBE-GGA.

Cell: 7.6946 4.6486 13.5812 Å, 90.00 90.90 90.00°
With the nearest neighbours (Å) after each atom.
Space group P2_1/m (No. 11)
Inequivalent atoms, fractional coordinates:
1 Ac 0.0116 0.2500 0.2906  5 Ir 3.09-3.41, 2 Pu 3.46
2 Ac 0.3610 0.7500 0.9163  3 Ir 3.19-3.24, 2 Pu 3.56
3 Ac 0.4823 0.7500 0.6210  5 Ir 3.23-3.39, 4 Pu 3.50-3.60
4 Pu 0.0110 0.2500 0.9146  4 Ir 2.96-3.00, 3 Pu 3.25-3.29
5 Pu 0.1485 0.2500 0.5458  4 Ir 2.87-3.00
6 Pu 0.3534 0.7500 0.2091  4 Ir 2.91-3.17, 1 Pu 3.25
7 Ir 0.2264 0.2500 0.1002  5 Pu 2.92-3.00, 2 Ac 3.09-3.19
8 Ir 0.2264 0.7500 0.4303  4 Pu 2.87-3.17
9 Ir 0.2722 0.2500 0.7568  3 Pu 2.91-3.00, 4 Ac 3.24-3.25

Values from the calculation:
Excess energy over the best structure of this formula in the dataset (meV/atom): 0

=====

TiH2F: optimized geometry, PBE-GGA.

Cell: 4.8990 4.8990 4.8990 Å, 90.00 90.00 90.00°
With the nearest neighbours (Å) after each atom.
Space group Fm-3m (No. 225)
Inequivalent atoms, fractional coordinates:
1 Ti 0.0000 0.0000 0.0000  8 H 2.12
2 H 0.2500 0.2500 0.2500  4 F 2.12, 4 Ti 2.12
3 F 0.0000 0.0000 0.5000  8 H 2.12

Values from the calculation:
Excess energy over the best structure of this formula in the dataset (meV/atom): 121

=====

Tm3In3CuRu2: optimized geometry, PBE-GGA.

Cell: 7.5606 7.5606 3.7605 Å, 90.00 90.00 120.00°
With the nearest neighbours (Å) after each atom.
Space group P-62m (No. 189)
Inequivalent atoms, fractional coordinates:
1 Tm 0.0000 0.4090 0.0000  4 Ru 2.96, 1 Cu 3.09, 6 In 3.13-3.30
2 In 0.0000 0.7400 0.5000  2 Cu 2.72, 2 Ru 2.84
3 Cu 0.0000 0.0000 0.0000  6 In 2.72
4 Ru 0.3333 0.6667 0.5000  3 In 2.84, 6 Tm 2.96

Values from the calculation:
Calculated total energy (eV per atom): -5.323